(1)
NdBeCu, optimized geometry, DFT PBE; D(E_F) = 10.881 states/eV per cell; excess energy over the best structure of this formula in the dataset = 228 meV/atom; ΔH_f (0 K) = 0.205 eV per atom; space group = P4_12_12, No. 92
1.0
-2.085 1.670 -5.790
4.918 -3.070 -2.656
-3.265 -5.001 -0.267
Cu Nd Be
4 4 4
Cartesian
1.676 -2.678 -3.808 Cu
0.765 -3.685 -7.281 Cu
0.435 -0.215 -1.298 Cu
-2.108 -3.722 -4.905 Cu
-1.296 -0.667 -5.139 Nd
2.066 -1.021 -6.159 Nd
-0.865 -2.879 -2.420 Nd
0.864 -5.734 -3.574 Nd
1.123 -0.555 -3.348 Be
-3.808 -2.572 -5.665 Be
0.078 -3.345 -5.232 Be
3.376 -3.829 -3.047 Be


(2)
Ca2ScAu2, optimized geometry, DFT PBE; D(E_F) = 3.883 states/eV per cell; excess energy over the best structure of this formula in the dataset = 552 meV/atom; ΔH_f (0 K) = -0.091 eV per atom; space group = I4/mmm, No. 139
1.0
6.009 -0.902 1.300
0.569 1.598 5.978
-4.048 -3.925 -2.611
Sc Au Ca
1 2 2
Cartesian
0.000 0.000 0.000 Sc
-0.095 -0.990 3.503 Au
2.625 -2.239 1.164 Au
2.246 0.238 2.486 Ca
4.331 0.458 4.792 Ca


(3)
Tb2Sm3DyTe6, optimized geometry, DFT PBE; D(E_F) = 6.213 states/eV per cell; raw formation energy = -129.6 kJ per mole of atoms; space group = C2/m, No. 12
1.0
4.379 0.000 0.000
0.000 8.861 0.289
-2.189 -2.581 9.259
Te Dy Tb Sm
6 1 2 3
Cartesian
0.000 6.363 6.476 Te
2.189 -0.083 3.072 Te
2.189 4.273 3.275 Te
0.000 2.168 0.093 Te
2.189 4.112 9.455 Te
0.000 2.006 6.273 Te
2.189 0.000 0.000 Dy
0.000 2.099 3.191 Tb
2.189 4.180 6.357 Tb
2.189 4.430 0.144 Sm
0.000 6.520 3.341 Sm
2.189 -0.241 6.207 Sm


(4)
RbMnI3, optimized geometry, DFT PBE; D(E_F) = 0.000 states/eV per cell; raw formation energy = -77.7 kJ per mole of atoms; space group = R-3c, No. 167
1.0
4.766 0.000 6.614
-2.383 4.127 6.614
-2.383 -4.127 6.614
Mn Rb I
2 2 6
Cartesian
0.000 0.000 19.768 Mn
0.000 0.000 9.846 Mn
0.000 0.000 4.889 Rb
0.000 0.000 14.810 Rb
-0.816 2.281 8.196 I
0.816 -2.280 11.503 I
-2.383 0.434 11.503 I
2.383 -0.434 8.196 I
1.567 1.846 11.503 I
-1.567 -1.847 8.196 I


(5)
RbCu2SnCl8, optimized geometry, DFT PBE; D(E_F) = 2.000 states/eV per cell; raw formation energy = -90.3 kJ per mole of atoms; space group = P-1, No. 2
1.0
6.297 -0.197 0.335
-0.213 6.774 1.702
0.444 2.438 9.080
Sn Cu Cl Rb
1 2 8 1
Cartesian
0.000 0.000 0.000 Sn
3.409 3.858 6.918 Cu
3.119 5.158 4.199 Cu
2.499 3.913 8.977 Cl
1.261 7.569 9.347 Cl
0.716 5.621 3.753 Cl
3.303 2.942 4.884 Cl
5.267 1.446 1.771 Cl
4.028 5.102 2.140 Cl
5.812 3.395 7.364 Cl
3.225 6.074 6.234 Cl
0.222 1.219 4.540 Rb


(6)
Zn2GaF6, optimized geometry, DFT PBE; D(E_F) = 3.359 states/eV per cell; raw formation energy = -212.3 kJ per mole of atoms; space group = P4_2/mnm, No. 136
1.0
4.872 0.000 0.000
0.000 4.872 0.000
0.000 0.000 9.694
Zn Ga F
4 2 12
Cartesian
0.000 0.000 3.234 Zn
2.436 2.436 1.613 Zn
2.436 2.436 8.081 Zn
0.000 0.000 6.461 Zn
0.000 0.000 0.000 Ga
2.436 2.436 4.847 Ga
3.390 3.390 6.455 F
1.482 1.482 3.240 F
0.954 3.918 8.087 F
3.390 3.390 3.240 F
1.472 1.472 0.000 F
3.918 0.954 8.087 F
3.918 0.954 1.607 F
0.964 3.908 4.847 F
0.954 3.918 1.607 F
1.482 1.482 6.455 F
3.908 0.964 4.847 F
3.400 3.400 0.000 F


(7)
TbPu2Ni, optimized geometry, DFT PBE; D(E_F) = 13.902 states/eV per cell; excess energy over the best structure of this formula in the dataset = 0 meV/atom; ΔH_f (0 K) = 0.080 eV per atom; space group = P4/mmm, No. 123
1.0
-1.912 2.373 1.638
-2.641 -0.653 -2.137
-2.701 -5.678 5.073
Tb Pu Ni
1 2 1
Cartesian
-3.627 -1.979 2.287 Tb
-2.186 -4.595 4.105 Pu
-0.515 -1.083 0.968 Pu
-2.277 0.860 -0.250 Ni


(8)
Sr4CaAg2, optimized geometry, DFT PBE; D(E_F) = 11.744 states/eV per cell; ΔH_f (0 K) = -0.124 eV per atom; space group = P2_1/m, No. 11
1.0
-0.450 1.142 -7.132
8.299 -3.956 -1.157
-6.734 -5.867 -0.514
Ag Ca Sr
4 2 8
Cartesian
5.643 -2.141 -6.206 Ag
0.076 -3.009 -5.993 Ag
1.039 -5.673 -2.809 Ag
-4.528 -6.540 -2.597 Ag
0.925 0.121 -5.546 Ca
0.190 -8.802 -3.257 Ca
3.029 -3.128 -4.348 Sr
-1.915 -5.554 -4.455 Sr
3.828 -7.244 -3.237 Sr
3.253 -3.694 -0.812 Sr
-2.713 -1.437 -5.566 Sr
-2.138 -4.988 -7.991 Sr
-0.293 -2.638 -2.239 Sr
1.408 -6.044 -6.563 Sr


no.,V (A^3/atom)
1,20.26
2,28.38
3,30.21
4,39.03
5,29.95
6,12.78
7,24.18
8,39.51